1.
TbPr3Ir3 | PBE | relaxed

a = 7.337 Å, b = 7.337 Å, c = 6.893 Å
α = 98.95°, β = 98.95°, γ = 82.76°
Element x y z (fractional)
1 Tb 0.213 0.213 0.453
2 Tb 0.787 0.787 0.547
3 Pr 0.192 0.808 0.000
4 Pr 0.277 0.723 0.500
5 Pr 0.297 0.297 0.995
6 Pr 0.703 0.703 0.005
7 Pr 0.723 0.277 0.500
8 Pr 0.808 0.192 0.000
9 Ir 0.003 0.504 0.258
10 Ir 0.053 0.053 0.712
11 Ir 0.496 0.997 0.742
12 Ir 0.504 0.003 0.258
13 Ir 0.947 0.947 0.288
14 Ir 0.997 0.496 0.742

Results
final energy = -7.030 eV per atom
total magnetic moment = 0.000 μB/cell
DOS(E_F) = 8.4 states/eV per cell
theoretical density = 10.682 g/cm3
SG = C2/m (12)
V = 180.06 Å³/f.u.
energy relative to the elements = -50 kJ/mol of atoms

***

2.
BaMoPb2 | PBE | relaxed

a = 4.761 Å, b = 4.761 Å, c = 7.286 Å
α = 109.07°, β = 109.07°, γ = 60.08°
Element x y z (fractional)
1 Ba 0.000 0.000 0.000
2 Mo 0.177 0.177 0.533
3 Pb 0.558 0.558 0.676
4 Pb 0.788 0.788 0.366

Results
final energy = -4.693 eV per atom
total magnetic moment = 2.281 μB/cell
DOS(E_F) = 2.9 states/eV per cell
theoretical density = 8.112 g/cm3
SG = Cm (8)
V = 132.57 Å³/f.u.
energy relative to the elements = 34 kJ/mol of atoms

***

3.
Ac2ErZn3Pd4 | PBE | relaxed

a = 4.429 Å, b = 4.429 Å, c = 11.273 Å
α = 90.00°, β = 90.00°, γ = 90.00°
Element x y z (fractional)
1 Ac 0.000 0.500 0.224
2 Ac 0.500 0.000 0.776
3 Er 0.000 0.000 0.500
4 Zn 0.000 0.500 0.884
5 Zn 0.500 0.000 0.116
6 Zn 0.500 0.500 0.500
7 Pd 0.000 0.000 0.000
8 Pd 0.000 0.500 0.653
9 Pd 0.500 0.000 0.347
10 Pd 0.500 0.500 0.000

Results
final energy = -4.403 eV per atom
total magnetic moment = 0.000 μB/cell
DOS(E_F) = 8.6 states/eV per cell
theoretical density = 9.334 g/cm3
SG = P-4m2 (115)
V = 221.16 Å³/f.u.
energy relative to the elements = -64 kJ/mol of atoms

***

4.
Tb2Dy5Th3 | PBE | relaxed

a = 6.153 Å, b = 6.153 Å, c = 11.277 Å
α = 90.38°, β = 90.38°, γ = 48.31°
Element x y z (fractional)
1 Tb 0.097 0.097 0.298
2 Tb 0.903 0.903 0.702
3 Dy 0.200 0.200 0.601
4 Dy 0.300 0.300 0.901
5 Dy 0.500 0.500 0.500
6 Dy 0.700 0.700 0.099
7 Dy 0.800 0.800 0.399
8 Th 0.000 0.000 0.000
9 Th 0.401 0.401 0.200
10 Th 0.599 0.599 0.800

Results
final energy = -5.416 eV per atom
total magnetic moment = 0.000 μB/cell
DOS(E_F) = 13.9 states/eV per cell
theoretical density = 9.514 g/cm3
SG = C2/m (12)
V = 318.80 Å³/f.u.
energy relative to the elements = 4 kJ/mol of atoms

***

5.
Rb3HBr6 | PBE | relaxed

a = 8.883 Å, b = 8.883 Å, c = 8.883 Å
α = 129.45°, β = 129.45°, γ = 74.28°
Element x y z (fractional)
1 Rb 0.000 0.000 0.000
2 Rb 0.250 0.750 0.500
3 Rb 0.750 0.250 0.500
4 H 0.500 0.500 0.000
5 Br 0.233 0.233 0.000
6 Br 0.302 0.302 0.603
7 Br 0.302 0.698 0.000
8 Br 0.698 0.302 0.000
9 Br 0.698 0.698 0.397
10 Br 0.767 0.767 0.000

Results
final energy = -2.334 eV per atom
total magnetic moment = 1.766 μB/cell
DOS(E_F) = 9.6 states/eV per cell
theoretical density = 3.003 g/cm3
SG = I4/mmm (139)
V = 407.41 Å³/f.u.

***

6.
ZrTiN2F | PBE | relaxed

a = 3.999 Å, b = 3.999 Å, c = 3.690 Å
α = 90.00°, β = 90.00°, γ = 90.00°
Element x y z (fractional)
1 Zr 0.000 0.000 0.000
2 Ti 0.500 0.500 0.500
3 N 0.000 0.500 0.500
4 N 0.500 0.000 0.500
5 F 0.500 0.500 0.000

Results
final energy = -8.166 eV per atom
E_form (uncorrected) = -1.17 eV per atom
total magnetic moment = 0.481 μB/cell
DOS(E_F) = 2.8 states/eV per cell
theoretical density = 5.237 g/cm3
SG = P4/mmm (123)
V = 59.01 Å³/f.u.

***

7.
Er2SiNi6B | PBE | relaxed

a = 5.335 Å, b = 5.335 Å, c = 6.442 Å
α = 114.53°, β = 114.53°, γ = 59.90°
Element x y z (fractional)
1 Er 0.220 0.220 0.160
2 Er 0.780 0.780 0.840
3 Si 0.500 0.500 0.000
4 Ni 0.237 0.237 0.678
5 Ni 0.238 0.704 0.678
6 Ni 0.296 0.762 0.322
7 Ni 0.704 0.238 0.678
8 Ni 0.762 0.296 0.322
9 Ni 0.763 0.763 0.322
10 B 0.000 0.000 0.500

Results
final energy = -6.130 eV per atom
E_form (uncorrected) = -0.54 eV per atom
total magnetic moment = 0.000 μB/cell
DOS(E_F) = 5.8 states/eV per cell
theoretical density = 8.654 g/cm3
SG = C2/m (12)
V = 139.23 Å³/f.u.

***

8.
LaTc3Ru | PBE | relaxed

a = 4.672 Å, b = 4.672 Å, c = 4.672 Å
α = 90.00°, β = 90.00°, γ = 90.00°
Element x y z (fractional)
1 La 0.000 0.000 0.000
2 Tc 0.000 0.000 0.500
3 Tc 0.000 0.500 0.000
4 Tc 0.500 0.000 0.000
5 Ru 0.500 0.500 0.500

Results
final energy = -6.663 eV per atom
total magnetic moment = 1.588 μB/cell
DOS(E_F) = 6.7 states/eV per cell
theoretical density = 8.695 g/cm3
SG = Pm-3m (221)
V = 101.97 Å³/f.u.
energy relative to the elements = 231 kJ/mol of atoms

***

9.
BaZrP2 | PBE | relaxed

a = 3.943 Å, b = 3.943 Å, c = 15.344 Å
α = 90.00°, β = 90.00°, γ = 120.00°
Element x y z (fractional)
1 Ba 0.000 0.000 0.000
2 Ba 0.000 0.000 0.500
3 Zr 0.000 0.000 0.250
4 Zr 0.000 0.000 0.750
5 P 0.333 0.667 0.151
6 P 0.333 0.667 0.349
7 P 0.667 0.333 0.651
8 P 0.667 0.333 0.849

Results
final energy = -6.207 eV per atom
total magnetic moment = 0.000 μB/cell
DOS(E_F) = 2.3 states/eV per cell
theoretical density = 4.670 g/cm3
SG = P6_3/mmc (194)
V = 103.29 Å³/f.u.
energy relative to the elements = -85 kJ/mol of atoms

***

10.
InGa3Ag8 | PBE | relaxed

a = 7.398 Å, b = 7.398 Å, c = 5.343 Å
α = 90.00°, β = 90.00°, γ = 120.00°
Element x y z (fractional)
1 In 0.000 0.000 0.000
2 Ga 0.000 0.000 0.500
3 Ga 0.333 0.667 0.500
4 Ga 0.667 0.333 0.500
5 Ag 0.000 0.339 0.706
6 Ag 0.000 0.661 0.294
7 Ag 0.333 0.667 0.000
8 Ag 0.339 0.000 0.706
9 Ag 0.339 0.339 0.294
10 Ag 0.661 0.000 0.294
11 Ag 0.661 0.661 0.706
12 Ag 0.667 0.333 0.000

Results
final energy = -2.690 eV per atom
total magnetic moment = 0.000 μB/cell
DOS(E_F) = 6.5 states/eV per cell
theoretical density = 7.784 g/cm3
SG = P-31m (162)
V = 253.21 Å³/f.u.
energy relative to the elements = 19 kJ/mol of atoms

***

11.
Ti2BeRu | PBE | relaxed

a = 5.484 Å, b = 5.484 Å, c = 5.484 Å
α = 102.39°, β = 102.39°, γ = 124.82°
Element x y z (fractional)
1 Ti 0.106 0.625 0.981
2 Ti 0.375 0.356 0.481
3 Ti 0.644 0.125 0.019
4 Ti 0.875 0.894 0.519
5 Be 0.250 0.750 0.500
6 Be 0.500 0.500 0.000
7 Ru 0.000 0.000 0.000
8 Ru 0.750 0.250 0.500

Results
final energy = -7.045 eV per atom
total magnetic moment = 0.000 μB/cell
DOS(E_F) = 6.5 states/eV per cell
theoretical density = 5.695 g/cm3
SG = I-42d (122)
V = 60.01 Å³/f.u.
energy relative to the elements = 15 kJ/mol of atoms

***

12.
K3RbNp2S6 | PBE | relaxed

a = 9.738 Å, b = 9.738 Å, c = 9.025 Å
α = 104.08°, β = 104.08°, γ = 24.61°
Element x y z (fractional)
1 K 0.000 0.000 0.000
2 K 0.343 0.343 0.664
3 K 0.657 0.657 0.336
4 Rb 0.000 0.000 0.500
5 Np 0.329 0.329 0.160
6 Np 0.671 0.671 0.840
7 S 0.177 0.177 0.645
8 S 0.180 0.180 0.051
9 S 0.467 0.467 0.222
10 S 0.533 0.533 0.778
11 S 0.820 0.820 0.949
12 S 0.823 0.823 0.355

Results
final energy = -5.890 eV per atom
E_form (uncorrected) = -1.31 eV per atom
total magnetic moment = 6.000 μB/cell
DOS(E_F) = 14.3 states/eV per cell
theoretical density = 4.181 g/cm3
SG = C2/m (12)
V = 345.20 Å³/f.u.

***

13.
PmNd2Sn2 | PBE | relaxed

a = 9.810 Å, b = 9.810 Å, c = 6.651 Å
α = 90.00°, β = 90.00°, γ = 150.18°
Element x y z (fractional)
1 Pm 0.104 0.896 0.500
2 Pm 0.896 0.104 0.000
3 Nd 0.309 0.691 0.501
4 Nd 0.500 0.500 0.250
5 Nd 0.500 0.500 0.750
6 Nd 0.691 0.309 0.001
7 Sn 0.075 0.925 0.000
8 Sn 0.306 0.694 0.001
9 Sn 0.694 0.306 0.501
10 Sn 0.925 0.075 0.500

Results
final energy = -5.088 eV per atom
total magnetic moment = 0.000 μB/cell
DOS(E_F) = 7.3 states/eV per cell
theoretical density = 6.999 g/cm3
SG = Cmc2_1 (36)
V = 159.17 Å³/f.u.
energy relative to the elements = -61 kJ/mol of atoms

***

14.
ScAg2HgRh | PBE | relaxed

a = 5.007 Å, b = 5.007 Å, c = 5.055 Å
α = 90.00°, β = 90.00°, γ = 90.00°
Element x y z (fractional)
1 Sc 0.000 0.000 0.000
2 Ag 0.000 0.500 0.500
3 Ag 0.500 0.000 0.500
4 Hg 0.500 0.500 0.000
5 Rh 0.500 0.500 0.500

Results
final energy = -3.304 eV per atom
total magnetic moment = 0.045 μB/cell
DOS(E_F) = 7.7 states/eV per cell
theoretical density = 7.393 g/cm3
SG = P4/mmm (123)
V = 126.73 Å³/f.u.
energy relative to the elements = 61 kJ/mol of atoms

***

15.
SmMoH | PBE | relaxed

a = 3.281 Å, b = 3.281 Å, c = 9.036 Å
α = 90.00°, β = 90.00°, γ = 90.00°
Element x y z (fractional)
1 Sm 0.250 0.250 0.178
2 Sm 0.750 0.750 0.822
3 Mo 0.250 0.250 0.566
4 Mo 0.750 0.750 0.434
5 H 0.250 0.250 0.913
6 H 0.750 0.750 0.087

Results
final energy = -6.365 eV per atom
total magnetic moment = 0.000 μB/cell
DOS(E_F) = 4.1 states/eV per cell
theoretical density = 8.441 g/cm3
SG = P4/nmm (129)
V = 48.65 Å³/f.u.

***

16.
Ce6GeSb2Te3 | PBE | relaxed

a = 9.972 Å, b = 9.972 Å, c = 8.931 Å
α = 102.81°, β = 102.81°, γ = 25.86°
Element x y z (fractional)
1 Ce 0.001 0.001 0.268
2 Ce 0.332 0.332 0.918
3 Ce 0.341 0.341 0.418
4 Ce 0.659 0.659 0.582
5 Ce 0.668 0.668 0.082
6 Ce 0.999 0.999 0.732
7 Ge 0.500 0.500 0.500
8 Sb 0.166 0.166 0.833
9 Sb 0.834 0.834 0.167
10 Te 0.170 0.170 0.335
11 Te 0.500 0.500 0.000
12 Te 0.830 0.830 0.665

Results
final energy = -5.992 eV per atom
E_form (uncorrected) = -1.17 eV per atom
total magnetic moment = 2.137 μB/cell
DOS(E_F) = 41.8 states/eV per cell
theoretical density = 6.779 g/cm3
SG = C2/m (12)
V = 377.16 Å³/f.u.

***

17.
PuGaCu2O6 | PBE | relaxed

a = 5.702 Å, b = 5.702 Å, c = 5.702 Å
α = 54.66°, β = 54.66°, γ = 54.66°
Element x y z (fractional)
1 Pu 0.000 0.000 0.000
2 Ga 0.494 0.494 0.494
3 Cu 0.251 0.251 0.251
4 Cu 0.794 0.794 0.794
5 O 0.111 0.734 0.396
6 O 0.232 0.610 0.871
7 O 0.396 0.111 0.734
8 O 0.610 0.871 0.232
9 O 0.734 0.396 0.111
10 O 0.871 0.232 0.610

Results
final energy = -7.085 eV per atom
E_form (uncorrected) = -1.55 eV per atom
total magnetic moment = 0.978 μB/cell
DOS(E_F) = 5.4 states/eV per cell
theoretical density = 7.763 g/cm3
SG = R3 (146)
V = 114.83 Å³/f.u.

***

18.
K4Li3 | PBE | relaxed

a = 7.067 Å, b = 7.067 Å, c = 7.623 Å
α = 90.00°, β = 90.00°, γ = 120.00°
Element x y z (fractional)
1 K 0.000 0.000 0.240
2 K 0.000 0.000 0.760
3 K 0.333 0.667 0.500
4 K 0.667 0.333 0.500
5 Li 0.000 0.500 0.000
6 Li 0.500 0.000 0.000
7 Li 0.500 0.500 0.000

Results
final energy = -1.322 eV per atom
total magnetic moment = 0.000 μB/cell
DOS(E_F) = 4.3 states/eV per cell
theoretical density = 0.892 g/cm3
SG = P6/mmm (191)
V = 329.76 Å³/f.u.
energy relative to the elements = 12 kJ/mol of atoms

***

19.
YHoSbS | PBE | relaxed

a = 7.677 Å, b = 7.677 Å, c = 7.677 Å
α = 30.58°, β = 30.58°, γ = 30.58°
Element x y z (fractional)
1 Y 0.000 0.000 0.000
2 Ho 0.161 0.161 0.161
3 Sb 0.579 0.579 0.579
4 S 0.750 0.750 0.750

Results
final energy = -6.193 eV per atom
E_form (uncorrected) = -1.37 eV per atom
total magnetic moment = 0.477 μB/cell
DOS(E_F) = 2.2 states/eV per cell
theoretical density = 6.522 g/cm3
SG = R3m (160)
V = 103.79 Å³/f.u.

***

20.
LaHoSi3 | PBE | relaxed

a = 12.531 Å, b = 12.531 Å, c = 3.971 Å
α = 90.00°, β = 90.00°, γ = 159.97°
Element x y z (fractional)
1 La 0.071 0.929 0.750
2 La 0.929 0.071 0.250
3 Ho 0.203 0.797 0.250
4 Ho 0.797 0.203 0.750
5 Si 0.320 0.680 0.250
6 Si 0.378 0.622 0.750
7 Si 0.475 0.525 0.750
8 Si 0.525 0.475 0.250
9 Si 0.622 0.378 0.250
10 Si 0.680 0.320 0.750

Results
final energy = -5.887 eV per atom
E_form (uncorrected) = -0.73 eV per atom
total magnetic moment = 0.000 μB/cell
DOS(E_F) = 3.4 states/eV per cell
theoretical density = 6.036 g/cm3
SG = Cmcm (63)
V = 106.77 Å³/f.u.